[1]
MgCuAs2 after structural relaxation. Source: Alexandria, functional PBE-GGA.

```
4
Lattice="1.516 0.875 9.085 -1.516 0.875 9.085 0.000 -1.751 9.085" Properties=species:S:1:pos:R:3 pbc="T T T"
Mg 0.000 0.000 0.000
Cu 0.000 0.000 6.921
As 0.000 0.000 14.124
As 0.000 0.000 20.430
```

- Calculated total energy: -3.569 eV per atom

***

[2]
MgCuAs2 after structural relaxation. Source: Alexandria, functional PBE-GGA.

```
4
Lattice="2.819 -3.455 0.000 2.819 3.455 0.000 -0.158 0.000 3.580" Properties=species:S:1:pos:R:3 pbc="T T T"
Mg 0.000 0.000 0.000
Cu 2.819 0.000 0.000
As 1.331 1.727 1.790
As 1.331 -1.727 1.790
```

- Calculated total energy: -3.751 eV per atom

***

[3]
MgCu4As after structural relaxation. Source: Alexandria, functional PBE-GGA.

```
6
Lattice="0.000 3.505 3.505 3.505 0.000 3.505 3.505 3.505 0.000" Properties=species:S:1:pos:R:3 pbc="T T T"
Mg 0.000 0.000 0.000
Cu 2.626 2.626 2.626
Cu 4.385 4.385 2.626
Cu 4.385 2.626 4.385
Cu 2.626 4.385 4.385
As 5.258 5.258 5.258
```

- Calculated total energy: -3.806 eV per atom

***

[4]
MgCuAs after structural relaxation. Source: Alexandria, functional PBE-GGA.

```
18
Lattice="6.609 0.000 0.000 0.000 3.970 0.000 -0.113 0.000 11.394" Properties=species:S:1:pos:R:3 pbc="T T T"
Mg 0.191 0.992 4.283
Mg 1.085 0.992 0.932
Mg 2.965 2.977 8.056
Mg 3.531 0.992 3.338
Mg 5.410 2.977 10.462
Mg 6.305 2.977 7.112
Cu 0.832 0.992 8.946
Cu 2.459 2.977 5.213
Cu 3.198 0.992 10.442
Cu 3.298 2.977 0.952
Cu 4.037 0.992 6.181
Cu 5.663 2.977 2.449
As 1.588 2.977 2.842
As 1.522 2.977 10.387
As 1.568 0.992 6.568
As 4.928 2.977 4.826
As 4.974 0.992 1.007
As 4.908 0.992 8.552
```

- Calculated total energy: -3.800 eV per atom

***

[5]
MgCuAs after structural relaxation. Source: Alexandria, functional PBE-GGA.

```
6
Lattice="6.817 -1.970 0.000 6.817 1.970 0.000 -1.133 0.000 3.773" Properties=species:S:1:pos:R:3 pbc="T T T"
Mg 2.019 0.000 0.610
Mg 10.482 0.000 3.164
Cu -0.567 0.000 1.887
Cu 6.817 0.000 0.000
As 4.606 0.000 1.389
As 7.896 0.000 2.384
```

- Calculated total energy: -3.698 eV per atom

***

[6]
MgCu2As2 after structural relaxation. Source: Alexandria, functional PBE-GGA.

```
10
Lattice="7.114 0.000 0.000 0.000 7.114 0.000 0.000 0.000 3.245" Properties=species:S:1:pos:R:3 pbc="T T T"
Mg 0.000 0.000 0.000
Mg 3.557 3.557 0.000
Cu 0.872 2.685 0.000
Cu 2.685 6.242 0.000
Cu 4.429 0.872 0.000
Cu 6.242 4.429 0.000
As 1.270 4.827 1.623
As 2.288 1.270 1.623
As 4.827 5.845 1.623
As 5.845 2.288 1.623
```

- Calculated total energy: -3.803 eV per atom

***

[7]
MgCu2As after structural relaxation. Source: Alexandria, functional PBE-GGA.

```
4
Lattice="3.908 -2.079 0.000 3.908 2.079 0.000 -1.593 0.000 4.151" Properties=species:S:1:pos:R:3 pbc="T T T"
Mg 0.000 0.000 0.000
Cu 1.093 0.000 2.545
Cu 3.597 0.000 2.966
As 5.414 0.000 1.280
```

- Calculated total energy: -3.673 eV per atom

***

[8]
MgCuAs after structural relaxation. Source: Alexandria, functional PBE-GGA.

```
6
Lattice="4.000 0.000 0.000 0.000 4.000 0.000 0.000 0.000 6.308" Properties=species:S:1:pos:R:3 pbc="T T T"
Mg 1.000 1.000 1.136
Mg 3.000 3.000 5.173
Cu 1.000 3.000 3.154
Cu 3.000 1.000 3.154
As 1.000 1.000 4.760
As 3.000 3.000 1.548
```

- Calculated total energy: -3.773 eV per atom

***

[9]
MgCu2As2 after structural relaxation. Source: Alexandria, functional PBE-GGA.

```
10
Lattice="7.315 0.000 0.000 0.000 7.315 0.000 0.000 0.000 3.149" Properties=species:S:1:pos:R:3 pbc="T T T"
Mg 0.000 0.000 0.000
Mg 3.658 3.658 0.000
Cu 0.908 2.749 1.575
Cu 2.749 6.407 1.575
Cu 4.566 0.908 1.575
Cu 6.407 4.566 1.575
As 1.260 4.918 0.000
As 2.397 1.260 0.000
As 4.918 6.055 0.000
As 6.055 2.397 0.000
```

- Calculated total energy: -3.770 eV per atom

***

[10]
MgCu2As after structural relaxation. Source: Alexandria, functional PBE-GGA.

```
4
Lattice="3.887 0.000 0.000 0.000 3.887 0.000 0.000 0.000 3.952" Properties=species:S:1:pos:R:3 pbc="T T T"
Mg 0.000 0.000 0.000
Cu 0.000 1.943 1.976
Cu 1.943 0.000 1.976
As 1.943 1.943 0.000
```

- Calculated total energy: -3.719 eV per atom

***

[11]
MgCuAs after structural relaxation. Source: Alexandria, functional PBE-GGA.

```
3
Lattice="3.137 0.000 0.000 -1.568 2.717 0.000 0.000 0.000 6.133" Properties=species:S:1:pos:R:3 pbc="T T T"
Mg 0.000 0.000 0.000
Cu 0.000 1.811 4.108
As 1.568 0.906 2.315
```

- Calculated total energy: -3.398 eV per atom

***

[12]
MgCuAs after structural relaxation. Source: Alexandria, functional PBE-GGA.

```
3
Lattice="-1.842 1.842 3.809 1.842 -1.842 3.809 1.842 1.842 -3.809" Properties=species:S:1:pos:R:3 pbc="T T T"
Mg 0.000 0.000 0.000
Cu 0.000 0.000 5.076
As 0.000 0.000 2.610
```

- Calculated total energy: -3.526 eV per atom